# 1
HfCuH2 | SCAN | single point on PBEsol structure

Cell lengths 3.996, 3.996, 9.775 Å; angles 90.00, 90.00, 90.00 degrees
Sites, in units of the cell vectors:
Hf 0.000 0.000 0.000
Hf 0.000 0.500 0.250
Hf 0.500 0.000 0.750
Hf 0.500 0.500 0.500
Cu 0.000 0.000 0.500
Cu 0.000 0.500 0.750
Cu 0.500 0.000 0.250
Cu 0.500 0.500 0.000
H 0.199 0.250 0.625
H 0.250 0.699 0.875
H 0.250 0.801 0.375
H 0.301 0.250 0.125
H 0.699 0.750 0.125
H 0.750 0.199 0.375
H 0.750 0.301 0.875
H 0.801 0.750 0.625

=====

# 2
Hf2CuH2 | SCAN | single point on PBEsol structure

Cell lengths 3.142, 3.142, 11.773 Å; angles 90.00, 90.00, 90.00 degrees
Sites, in units of the cell vectors:
Hf 0.000 0.000 0.138
Hf 0.000 0.000 0.862
Hf 0.500 0.500 0.362
Hf 0.500 0.500 0.638
Cu 0.000 0.000 0.500
Cu 0.500 0.500 0.000
H 0.000 0.500 0.250
H 0.000 0.500 0.750
H 0.500 0.000 0.250
H 0.500 0.000 0.750

=====

# 3
Hf3CuH | SCAN | single point on PBEsol structure

Cell lengths 4.249, 4.249, 4.249 Å; angles 90.00, 90.00, 90.00 degrees
Sites, in units of the cell vectors:
Hf 0.000 0.000 0.500
Hf 0.000 0.500 0.000
Hf 0.500 0.000 0.000
Cu 0.500 0.500 0.500
H 0.000 0.000 0.000

=====

Sequential size of the total moment output: 0.0 0.1 0.0 μB per formula unit
Sequential final energy output: -340.102 -298.778 -207.183 eV for the cell shown